VASP calculation (PBE) on an optimized crystal structure of BaCoTe2.

Summary:
D(E_F) (states/eV/cell): 3.00
Space-group type: Fm-3m
Total moment (μB per cell): 2.796
ρ (g/cm³): 6.3
Formation energy from raw total energies (eV per atom): -0.160

Unit cell a=5.522 b=5.522 c=5.522 alpha=60.00 beta=60.00 gamma=60.00
Each line ends with the local moment (μB).
Sites, in units of the cell vectors:
Te: 0.750 0.750 0.750  0.18
Co: 0.000 0.000 0.000  2.16
Te: 0.250 0.250 0.250  0.18
Ba: 0.500 0.500 0.500  0.04

VASP calculation (PBE) on an optimized crystal structure of AcSmGa4.

Summary:
D(E_F) (states/eV/cell): 3.95
Energy of formation from the pure elements (eV/atom): -0.486
Space-group type: F-43m
Total moment (μB per cell): 0.000
ρ (g/cm³): 8.1

Unit cell a=5.745 b=5.745 c=5.745 alpha=60.00 beta=60.00 gamma=60.00
Sites, in units of the cell vectors:
Ga: 0.625 0.124 0.625
Ac: 0.250 0.250 0.250
Sm: 0.000 0.000 0.000
Ga: 0.625 0.625 0.625
Ga: 0.124 0.625 0.625
Ga: 0.625 0.625 0.124

VASP calculation (PBE) on an optimized crystal structure of TmPa2AsN5.

Summary:
D(E_F) (states/eV/cell): 7.58
Space-group type: Cmc2_1
Total moment (μB per cell): 0.000
ρ (g/cm³): 10.2
Formation energy from raw total energies (eV per atom): -1.024

Unit cell a=3.491 b=6.776 c=11.047 alpha=90.00 beta=90.00 gamma=104.93
Sites, in units of the cell vectors:
Tm: 0.203 0.407 0.989
N: 0.624 0.249 0.534
Pa: 0.881 0.763 0.189
Pa: 0.138 0.276 0.265
Pa: 0.862 0.724 0.765
N: 0.962 0.924 0.601
N: 0.297 0.593 0.332
N: 0.038 0.076 0.101
N: 0.284 0.568 0.643
Tm: 0.797 0.593 0.489
N: 0.716 0.432 0.143
Pa: 0.119 0.237 0.689
N: 0.479 0.959 0.797
N: 0.376 0.751 0.034
N: 0.521 0.041 0.297
N: 0.703 0.407 0.832
As: 0.490 0.980 0.473
As: 0.510 0.020 0.973

VASP calculation (PBE) on an optimized crystal structure of SnPbO3.

Summary:
D(E_F) (states/eV/cell): 0.00
Space-group type: R-3
Total moment (μB per cell): 0.000
ρ (g/cm³): 7.6
Formation energy from raw total energies (eV per atom): -1.340

Unit cell a=7.732 b=8.928 c=8.927 alpha=67.98 beta=73.22 gamma=106.78
Sites, in units of the cell vectors:
Sn: 0.329 0.571 0.219
O: 0.243 0.723 0.682
Pb: 0.911 0.589 0.158
O: 0.452 0.029 0.722
Pb: 0.322 0.253 0.589
O: 0.198 0.558 0.033
Pb: 0.678 0.747 0.411
Sn: 0.241 0.789 0.429
Pb: 0.931 0.842 0.747
O: 0.769 0.967 0.590
O: 0.359 0.590 0.442
O: 0.231 0.033 0.410
Pb: 0.069 0.158 0.253
Sn: 0.548 0.219 0.211
Pb: 0.089 0.411 0.842
Sn: 0.759 0.211 0.571
O: 0.576 0.750 0.972
O: 0.520 0.595 0.723
O: 0.757 0.277 0.318
Sn: 0.452 0.781 0.789
O: 0.826 0.278 0.750
O: 0.641 0.410 0.558
O: 0.174 0.722 0.250
O: 0.424 0.250 0.028
O: 0.548 0.971 0.278
Sn: 0.671 0.429 0.781
O: 0.075 0.318 0.405
O: 0.925 0.682 0.595
O: 0.480 0.405 0.277
O: 0.802 0.442 0.967

VASP calculation (PBE) on an optimized crystal structure of ErInSn.

Summary:
D(E_F) (states/eV/cell): 4.04
Energy of formation from the pure elements (eV/atom): -0.286
Space-group type: Cmcm
Total moment (μB per cell): 0.000
ρ (g/cm³): 8.4

Unit cell a=5.890 b=6.348 c=5.178 alpha=90.00 beta=124.66 gamma=90.00
Sites, in units of the cell vectors:
Er: 0.323 0.250 0.146
Sn: 0.000 0.500 0.500
In: 0.683 0.250 0.866
In: 0.317 0.750 0.134
Sn: 0.000 0.000 0.500
Er: 0.677 0.750 0.854

VASP calculation (PBE) on an optimized crystal structure of Tb2Y4Tm2Sc.

Summary:
D(E_F) (states/eV/cell): 14.10
Energy of formation from the pure elements (eV/atom): 0.024
Space-group type: C2/m
Total moment (μB per cell): 0.001
ρ (g/cm³): 6.3

Unit cell a=3.562 b=9.413 c=9.402 alpha=115.33 beta=90.00 gamma=100.91
Sites, in units of the cell vectors:
Y: 0.184 0.369 0.330
Tb: 0.149 0.297 0.668
Sc: 0.000 0.000 0.000
Tm: 0.665 0.330 0.999
Tm: 0.335 0.670 0.001
Tb: 0.851 0.703 0.332
Y: 0.518 0.036 0.328
Y: 0.482 0.964 0.672
Y: 0.816 0.631 0.670

- What is the formula in the fourth record?
  SnPbO3

- Number 3 is which compound?
  TmPa2AsN5